# 1
# PBE La3Cu, optimized geometry
# **Energy relative to the elements**: 0.075 eV/atom
# **Space group**: Pmmn (59)
data_La3Cu
_chemical_formula_sum 'La6 Cu2'
_space_group_name_H-M_alt 'P 1'
_space_group_IT_number 1
_space_group_name_Hall 'P 1'
_cell_length_a 4.843
_cell_length_b 6.974
_cell_length_c 6.969
_cell_angle_alpha 90.00
_cell_angle_beta 90.00
_cell_angle_gamma 90.00
loop_
_atom_site_label
_atom_site_type_symbol
_atom_site_fract_x
_atom_site_fract_y
_atom_site_fract_z
La1 La 0.250 0.023 0.150
La2 La 0.250 0.250 0.599
La3 La 0.250 0.477 0.150
La4 La 0.750 0.523 0.850
La5 La 0.750 0.750 0.401
La6 La 0.750 0.977 0.850
Cu1 Cu 0.250 0.750 0.685
Cu2 Cu 0.750 0.250 0.315

---

# 2
# PBE Sc2BiTe, optimized geometry
# **E above lowest polymorph**: 0.443 eV/atom
# **Formation energy (no corrections)**: -0.494 eV/atom
# **Space group**: I-42d (122)
data_Sc2BiTe
_chemical_formula_sum 'Sc4 Bi2 Te2'
_space_group_name_H-M_alt 'P 1'
_space_group_IT_number 1
_space_group_name_Hall 'P 1'
_cell_length_a 8.139
_cell_length_b 8.139
_cell_length_c 8.139
_cell_angle_alpha 131.92
_cell_angle_beta 131.92
_cell_angle_gamma 70.36
loop_
_atom_site_label
_atom_site_type_symbol
_atom_site_fract_x
_atom_site_fract_y
_atom_site_fract_z
Sc1 Sc 0.124 0.625 0.999
Sc2 Sc 0.375 0.374 0.499
Sc3 Sc 0.626 0.125 0.001
Sc4 Sc 0.875 0.876 0.501
Bi1 Bi 0.250 0.750 0.500
Bi2 Bi 0.500 0.500 0.000
Te1 Te 0.000 0.000 0.000
Te2 Te 0.750 0.250 0.500

---

# 3
# PBE KCeGeN3, optimized geometry
# **Formation energy (no corrections)**: -0.494 eV/atom
# **Space group**: P2_1/m (11)
data_KCeGeN3
_chemical_formula_sum 'K2 Ce2 Ge2 N6'
_space_group_name_H-M_alt 'P 1'
_space_group_IT_number 1
_space_group_name_Hall 'P 1'
_cell_length_a 8.059
_cell_length_b 3.529
_cell_length_c 8.375
_cell_angle_alpha 90.00
_cell_angle_beta 97.13
_cell_angle_gamma 90.00
loop_
_atom_site_label
_atom_site_type_symbol
_atom_site_fract_x
_atom_site_fract_y
_atom_site_fract_z
K1 K 0.161 0.250 0.177
K2 K 0.839 0.750 0.823
Ce1 Ce 0.381 0.750 0.848
Ce2 Ce 0.619 0.250 0.152
Ge1 Ge 0.100 0.250 0.602
Ge2 Ge 0.900 0.750 0.398
N1 N 0.131 0.750 0.495
N2 N 0.174 0.250 0.813
N3 N 0.439 0.750 0.113
N4 N 0.561 0.250 0.887
N5 N 0.826 0.750 0.187
N6 N 0.869 0.250 0.505

---

# 4
# PBE SrSmHgGe, optimized geometry
# **Energy relative to the elements**: -0.493 eV/atom
# **Space group**: F-43m (216)
data_SrSmHgGe
_chemical_formula_sum 'Sr1 Sm1 Hg1 Ge1'
_space_group_name_H-M_alt 'P 1'
_space_group_IT_number 1
_space_group_name_Hall 'P 1'
_cell_length_a 5.393
_cell_length_b 5.393
_cell_length_c 5.393
_cell_angle_alpha 60.00
_cell_angle_beta 60.00
_cell_angle_gamma 60.00
loop_
_atom_site_label
_atom_site_type_symbol
_atom_site_fract_x
_atom_site_fract_y
_atom_site_fract_z
Sr1 Sr 0.000 0.000 0.000
Sm1 Sm 0.500 0.500 0.500
Hg1 Hg 0.750 0.750 0.750
Ge1 Ge 0.250 0.250 0.250

---

# 5
# PBE AcPm12Sm2, optimized geometry
# **Energy relative to the elements**: 0.101 eV/atom
# **Space group**: C2/m (12)
data_AcPm12Sm2
_chemical_formula_sum 'Ac2 Pm24 Sm4'
_space_group_name_H-M_alt 'P 1'
_space_group_IT_number 1
_space_group_name_Hall 'P 1'
_cell_length_a 6.872
_cell_length_b 6.872
_cell_length_c 24.880
_cell_angle_alpha 92.09
_cell_angle_beta 92.09
_cell_angle_gamma 115.50
loop_
_atom_site_label
_atom_site_type_symbol
_atom_site_fract_x
_atom_site_fract_y
_atom_site_fract_z
Ac1 Ac 0.250 0.250 0.000
Ac2 Ac 0.750 0.750 0.000
Pm1 Pm 0.031 0.031 0.139
Pm2 Pm 0.045 0.545 0.196
Pm3 Pm 0.084 0.584 0.329
Pm4 Pm 0.139 0.638 0.556
Pm5 Pm 0.141 0.141 0.574
Pm6 Pm 0.235 0.735 0.931
Pm7 Pm 0.265 0.765 0.069
Pm8 Pm 0.358 0.358 0.427
Pm9 Pm 0.362 0.861 0.444
Pm10 Pm 0.416 0.916 0.671
Pm11 Pm 0.455 0.955 0.804
Pm12 Pm 0.469 0.469 0.860
Pm13 Pm 0.531 0.531 0.140
Pm14 Pm 0.545 0.045 0.196
Pm15 Pm 0.584 0.084 0.329
Pm16 Pm 0.638 0.139 0.556
Pm17 Pm 0.642 0.642 0.573
Pm18 Pm 0.735 0.235 0.931
Pm19 Pm 0.765 0.265 0.069
Pm20 Pm 0.859 0.859 0.426
Pm21 Pm 0.861 0.362 0.444
Pm22 Pm 0.916 0.416 0.671
Pm23 Pm 0.955 0.455 0.804
Pm24 Pm 0.969 0.969 0.861
Sm1 Sm 0.072 0.072 0.282
Sm2 Sm 0.428 0.428 0.718
Sm3 Sm 0.572 0.572 0.282
Sm4 Sm 0.928 0.928 0.718

---

# 6
# PBE Hg2SbPd, optimized geometry
# **Formation energy (no corrections)**: 0.287 eV/atom
# **Space group**: R-3m (166)
data_Hg2SbPd
_chemical_formula_sum 'Hg2 Sb1 Pd1'
_space_group_name_H-M_alt 'P 1'
_space_group_IT_number 1
_space_group_name_Hall 'P 1'
_cell_length_a 11.368
_cell_length_b 11.368
_cell_length_c 11.368
_cell_angle_alpha 15.88
_cell_angle_beta 15.88
_cell_angle_gamma 15.88
loop_
_atom_site_label
_atom_site_type_symbol
_atom_site_fract_x
_atom_site_fract_y
_atom_site_fract_z
Hg1 Hg 0.080 0.080 0.080
Hg2 Hg 0.920 0.920 0.920
Sb1 Sb 0.500 0.500 0.500
Pd1 Pd 0.000 0.000 0.000

---

# 7
# PBE Y7SI12, optimized geometry
# **Formation energy (no corrections)**: -1.354 eV/atom
# **Space group**: R-3 (148)
data_Y7SI12
_chemical_formula_sum 'Y7 S1 I12'
_space_group_name_H-M_alt 'P 1'
_space_group_IT_number 1
_space_group_name_Hall 'P 1'
_cell_length_a 9.656
_cell_length_b 9.656
_cell_length_c 9.656
_cell_angle_alpha 107.97
_cell_angle_beta 107.97
_cell_angle_gamma 107.97
loop_
_atom_site_label
_atom_site_type_symbol
_atom_site_fract_x
_atom_site_fract_y
_atom_site_fract_z
Y1 Y 0.000 0.000 0.000
Y2 Y 0.200 0.465 0.397
Y3 Y 0.397 0.200 0.465
Y4 Y 0.465 0.397 0.200
Y5 Y 0.535 0.603 0.800
Y6 Y 0.603 0.800 0.535
Y7 Y 0.800 0.535 0.603
S1 S 0.500 0.500 0.500
I1 I 0.031 0.112 0.348
I2 I 0.112 0.348 0.031
I3 I 0.188 0.578 0.725
I4 I 0.275 0.812 0.422
I5 I 0.348 0.031 0.112
I6 I 0.422 0.275 0.812
I7 I 0.578 0.725 0.188
I8 I 0.652 0.969 0.888
I9 I 0.725 0.188 0.578
I10 I 0.812 0.422 0.275
I11 I 0.888 0.652 0.969
I12 I 0.969 0.888 0.652

---

# 8
# PBE HfFe3Pb, optimized geometry
# **E above lowest polymorph**: 0.225 eV/atom
# **Energy relative to the elements**: 1.518 eV/atom
# **Space group**: Pm-3m (221)
data_HfFe3Pb
_chemical_formula_sum 'Hf1 Fe3 Pb1'
_space_group_name_H-M_alt 'P 1'
_space_group_IT_number 1
_space_group_name_Hall 'P 1'
_cell_length_a 4.760
_cell_length_b 4.760
_cell_length_c 4.760
_cell_angle_alpha 90.00
_cell_angle_beta 90.00
_cell_angle_gamma 90.00
loop_
_atom_site_label
_atom_site_type_symbol
_atom_site_fract_x
_atom_site_fract_y
_atom_site_fract_z
Hf1 Hf 0.000 0.000 0.000
Fe1 Fe 0.000 0.500 0.500
Fe2 Fe 0.500 0.000 0.500
Fe3 Fe 0.500 0.500 0.000
Pb1 Pb 0.500 0.500 0.500

---

# 9
# PBE In3Hg5Pb, optimized geometry
# **E above lowest polymorph**: 0.004 eV/atom
# **Energy relative to the elements**: 0.038 eV/atom
# **Space group**: P-1 (2)
data_In3Hg5Pb
_chemical_formula_sum 'In6 Hg10 Pb2'
_space_group_name_H-M_alt 'P 1'
_space_group_IT_number 1
_space_group_name_Hall 'P 1'
_cell_length_a 7.442
_cell_length_b 7.928
_cell_length_c 8.833
_cell_angle_alpha 91.95
_cell_angle_beta 102.79
_cell_angle_gamma 95.05
loop_
_atom_site_label
_atom_site_type_symbol
_atom_site_fract_x
_atom_site_fract_y
_atom_site_fract_z
In1 In 0.062 0.119 0.166
In2 In 0.115 0.563 0.674
In3 In 0.316 0.817 0.149
In4 In 0.684 0.183 0.851
In5 In 0.885 0.437 0.326
In6 In 0.938 0.881 0.834
Hg1 Hg 0.074 0.841 0.424
Hg2 Hg 0.257 0.232 0.884
Hg3 Hg 0.301 0.328 0.480
Hg4 Hg 0.381 0.876 0.816
Hg5 Hg 0.446 0.468 0.204
Hg6 Hg 0.554 0.532 0.796
Hg7 Hg 0.619 0.124 0.184
Hg8 Hg 0.699 0.672 0.520
Hg9 Hg 0.743 0.768 0.116
Hg10 Hg 0.926 0.159 0.576
Pb1 Pb 0.000 0.500 0.000
Pb2 Pb 0.500 0.000 0.500

---

# 10
# PBE MgCu2W, optimized geometry
# **Energy relative to the elements**: 0.520 eV/atom
# **Space group**: Pmmm (47)
data_MgCu2W
_chemical_formula_sum 'Mg1 Cu2 W1'
_space_group_name_H-M_alt 'P 1'
_space_group_IT_number 1
_space_group_name_Hall 'P 1'
_cell_length_a 2.731
_cell_length_b 4.578
_cell_length_c 4.757
_cell_angle_alpha 90.00
_cell_angle_beta 90.00
_cell_angle_gamma 90.00
loop_
_atom_site_label
_atom_site_type_symbol
_atom_site_fract_x
_atom_site_fract_y
_atom_site_fract_z
Mg1 Mg 0.000 0.000 0.000
Cu1 Cu 0.000 0.500 0.500
Cu2 Cu 0.500 0.500 0.000
W1 W 0.500 0.000 0.500

---

# 11
# PBE CrCdMo2, optimized geometry
# **Energy relative to the elements**: 0.470 eV/atom
# **Space group**: Imm2 (44)
data_CrCdMo2
_chemical_formula_sum 'Cr1 Cd1 Mo2'
_space_group_name_H-M_alt 'P 1'
_space_group_IT_number 1
_space_group_name_Hall 'P 1'
_cell_length_a 5.194
_cell_length_b 5.194
_cell_length_c 5.194
_cell_angle_alpha 144.11
_cell_angle_beta 128.49
_cell_angle_gamma 64.37
loop_
_atom_site_label
_atom_site_type_symbol
_atom_site_fract_x
_atom_site_fract_y
_atom_site_fract_z
Cr1 Cr 0.000 0.000 0.000
Cd1 Cd 0.739 0.239 0.500
Mo1 Mo 0.216 0.716 0.500
Mo2 Mo 0.462 0.462 0.000

---

# 12
# PBE Ce3Pt2, optimized geometry
# **E above lowest polymorph**: 0.066 eV/atom
# **Energy relative to the elements**: -0.780 eV/atom
# **Space group**: I4/mmm (139)
data_Ce3Pt2
_chemical_formula_sum 'Ce3 Pt2'
_space_group_name_H-M_alt 'P 1'
_space_group_IT_number 1
_space_group_name_Hall 'P 1'
_cell_length_a 9.221
_cell_length_b 9.221
_cell_length_c 9.221
_cell_angle_alpha 157.25
_cell_angle_beta 157.25
_cell_angle_gamma 32.40
loop_
_atom_site_label
_atom_site_type_symbol
_atom_site_fract_x
_atom_site_fract_y
_atom_site_fract_z
Ce1 Ce 0.000 0.000 0.000
Ce2 Ce 0.191 0.191 0.000
Ce3 Ce 0.809 0.809 0.000
Pt1 Pt 0.393 0.393 0.000
Pt2 Pt 0.607 0.607 0.000

---

Number 1: mass density 6776 kg/m3. Number 2: mass density 4841 kg/m3. Number 3: mass density 4130 kg/m3. Number 4: mass density 7655 kg/m3. Number 5: mass density 7119 kg/m3. Number 6: mass density 10903 kg/m3. Number 7: mass density 4959 kg/m3. Number 8: mass density 8516 kg/m3. Number 9: mass density 10215 kg/m3. Number 10: mass density 9359 kg/m3. Number 11: mass density 9316 kg/m3. Number 12: mass density 11488 kg/m3.